A relaxed Na2PmCdF8 crystal. Source: Alexandria via LeMat-Bulk, functional PBE.

Summary:
Final energy, eV per cell: -57.109
Raw formation energy, eV/atom: -2.82

abc: 3.9164 5.5268 7.8296
angles: 90.00 90.00 90.00
Element x y z (fractional)
Na 0.0000 0.0000 0.2433
Na 0.0000 0.0000 0.7567
Pm 0.5000 0.5000 0.5000
Cd 0.5000 0.5000 0.0000
F 0.0000 0.2609 0.5000
F 0.0000 0.2654 0.0000
F 0.0000 0.7346 0.0000
F 0.0000 0.7391 0.5000
F 0.5000 0.2615 0.2497
F 0.5000 0.2615 0.7503
F 0.5000 0.7385 0.2497
F 0.5000 0.7385 0.7503